No. 1
The following is a DFT calculation (PBE) of a relaxed structure of Tb6NdTh3.

Values from the calculation:
total magnetic moment	0.000	μB per cell
formation energy from the elements	168.0	kJ/mol of formula units
energy	-106.136	eV/cell
SG	No. 11

```
data_Tb6NdTh3
_cell_length_a 5.657
_cell_length_b 11.485
_cell_length_c 14.687
_cell_angle_alpha 135.19
_cell_angle_beta 90.00
_cell_angle_gamma 90.00
_space_group_name_H-M_alt 'P 1'
_space_group_IT_number 1
_space_group_name_Hall 'P 1'
loop_
_atom_site_label
_atom_site_type_symbol
_atom_site_fract_x
_atom_site_fract_y
_atom_site_fract_z
Tb1 Tb 0.250 0.447 0.548
Tb2 Tb 0.750 0.553 0.452
Tb3 Tb 0.250 0.973 0.161
Tb4 Tb 0.750 0.027 0.839
Tb5 Tb 0.250 0.886 0.650
Tb6 Tb 0.750 0.114 0.350
Tb7 Tb 0.250 0.723 0.189
Tb8 Tb 0.750 0.277 0.811
Tb9 Tb 0.250 0.537 0.844
Tb10 Tb 0.750 0.463 0.156
Tb11 Tb 0.250 0.299 0.217
Tb12 Tb 0.750 0.701 0.783
Nd1 Nd 0.250 0.283 0.953
Nd2 Nd 0.750 0.717 0.047
Th1 Th 0.250 0.106 0.540
Th2 Th 0.750 0.894 0.460
Th3 Th 0.250 0.663 0.363
Th4 Th 0.750 0.337 0.637
Th5 Th 0.250 0.917 0.898
Th6 Th 0.750 0.083 0.102
```

***

No. 2
The following is a DFT calculation (PBE) of a relaxed structure of Tb4Nd7Th.

Values from the calculation:
total magnetic moment	0.000	μB per cell
formation energy from the elements	19.3	kJ/mol of formula units
energy	-59.116	eV/cell
SG	No. 2
excess energy over the best structure of this formula in the dataset	0.000	eV/atom

```
data_Tb4Nd7Th
_cell_length_a 7.324
_cell_length_b 6.345
_cell_length_c 11.643
_cell_angle_alpha 79.42
_cell_angle_beta 50.92
_cell_angle_gamma 90.02
_space_group_name_H-M_alt 'P 1'
_space_group_IT_number 1
_space_group_name_Hall 'P 1'
loop_
_atom_site_label
_atom_site_type_symbol
_atom_site_fract_x
_atom_site_fract_y
_atom_site_fract_z
Tb1 Tb 0.420 0.726 0.330
Tb2 Tb 0.580 0.274 0.670
Tb3 Tb 0.836 0.780 0.663
Tb4 Tb 0.164 0.220 0.337
Nd1 Nd 0.752 0.499 0.002
Nd2 Nd 0.248 0.501 0.998
Nd3 Nd 0.083 0.277 0.669
Nd4 Nd 0.917 0.723 0.331
Nd5 Nd 0.329 0.781 0.671
Nd6 Nd 0.500 0.000 0.000
Nd7 Nd 0.671 0.219 0.329
Th1 Th 0.000 0.000 0.000
```